[1]
Density functional theory data (GGA-PBE) for a relaxed structure of CaLa8Nd6.

Calculated values
- energy of formation from the pure elements (eV/f.u.) = 1.95
- total magnetization (μB/f.u.) = 0.00
- final energy (Ry/atom) = -0.334

a b c (Å): 10.0370 10.0370 18.6883
angles (deg): 90.00 90.00 120.00
Space group R-3 (No. 148, hexagonal axes)
One atom of each set of equivalent atoms:
Ca (0.0000, 0.0000, 0.0000)
La (0.0000, 0.0000, 0.2332)
La (0.0465, 0.6201, 0.5671)
Nd (0.0220, 0.7875, 0.4061)

[2]
Density functional theory data (GGA-PBE) for a relaxed structure of NaRuSeBr2.

Calculated values
- total magnetization (μB/f.u.) = 5.03
- relative energy among the computed polymorphs (eV per atom) = 1.129
- E_form (uncorrected) (eV/f.u.) = 3.87
- final energy (Ry/atom) = -0.199

a b c (Å): 5.2247 5.2247 5.3769
angles (deg): 90.00 90.00 90.00
Space group P4/mmm (No. 123)
One atom of each set of equivalent atoms:
Na (0.0000, 0.0000, 0.0000)
Ru (0.5000, 0.5000, 0.5000)
Se (0.0000, 0.0000, 0.5000)
Br (0.0000, 0.5000, 0.0000)

[3]
Density functional theory data (GGA-PBE) for a relaxed structure of Li4Ho3PaTe8.

Calculated values
- total magnetization (μB/f.u.) = 1.72
- E_form (uncorrected) (eV/f.u.) = -18.54
- final energy (Ry/atom) = -0.343

a b c (Å): 8.6167 8.6167 21.2952
angles (deg): 90.00 90.00 120.00
Space group R-3m (No. 166, hexagonal axes)
One atom of each set of equivalent atoms:
Li (0.0000, 0.0000, 0.0000)
Li (0.0000, 0.5000, 0.0000)
Ho (0.0000, 0.5000, 0.5000)
Pa (0.0000, 0.0000, 0.5000)
Te (0.0000, 0.0000, 0.2517)
Te (0.0026, 0.5013, 0.7472)

[4]
Density functional theory data (GGA-PBE) for a relaxed structure of Nd6SbTe3.

Calculated values
- total magnetization (μB/f.u.) = 0.01
- E_form (uncorrected) (eV/f.u.) = -10.35
- final energy (Ry/atom) = -0.386

a b c (Å): 12.5455 4.2744 12.9336
angles (deg): 90.00 104.85 90.00
Space group P2_1/m (No. 11)
One atom of each set of equivalent atoms:
Nd (0.0141, 0.2500, 0.3595)
Nd (0.0815, 0.2500, 0.8927)
Nd (0.2580, 0.7500, 0.2974)
Nd (0.2915, 0.7500, 0.7644)
Nd (0.3831, 0.2500, 0.5419)
Nd (0.4494, 0.7500, 0.1220)
Sb (0.4568, 0.2500, 0.3129)
Te (0.1092, 0.2500, 0.1474)
Te (0.1782, 0.7500, 0.5112)
Te (0.3367, 0.2500, 0.9510)

[5]
Density functional theory data (GGA-PBE) for a relaxed structure of La2Ho3Sc4.

Calculated values
- energy of formation from the pure elements (eV/f.u.) = 0.63
- total magnetization (μB/f.u.) = 0.00
- final energy (Ry/atom) = -0.394

a b c (Å): 14.6840 4.9184 7.6766
angles (deg): 90.00 108.25 90.00
Space group C2/m (No. 12)
One atom of each set of equivalent atoms:
La (0.1647, 0.0000, 0.0040)
Ho (0.0000, 0.5000, 0.0000)
Ho (0.1102, 0.5000, 0.6572)
Sc (0.0596, 0.0000, 0.3440)
Sc (0.2225, 0.5000, 0.3446)

[6]
Density functional theory data (GGA-PBE) for a relaxed structure of Cd2AgAu2.

Calculated values
- energy of formation from the pure elements (eV/f.u.) = -0.49
- total magnetization (μB/f.u.) = 0.00
- relative energy among the computed polymorphs (eV per atom) = 0.042
- final energy (Ry/atom) = -0.172

a b c (Å): 7.5297 7.5297 3.5882
angles (deg): 90.00 90.00 90.00
Space group P4/mbm (No. 127)
One atom of each set of equivalent atoms:
Cd (0.1648, 0.3352, 0.0000)
Ag (0.0000, 0.0000, 0.5000)
Au (0.1359, 0.6359, 0.5000)

Which value of total magnetization does entry 5 give? 0.00 μB/f.u.

final energy of number 6 (Cd2AgAu2)? -0.172 Ry/atom

total magnetization of number 6 (Cd2AgAu2)? 0.00 μB/f.u.